# 1
First-principles (GGA-PBEsol) data for In3Ir after structural relaxation, as listed in Alexandria via LeMat-Bulk.

Unit cell a=3.081 b=3.081 c=8.758 alpha=90.00 beta=90.00 gamma=90.00
Space group P4/mmm (No. 123)
Inequivalent atoms, fractional coordinates:
In 0.000 0.000 0.000 (multiplicity 1)
In 0.500 0.500 0.300 (multiplicity 2)
Ir 0.000 0.000 0.500 (multiplicity 1)

Properties
Density in Mg/m³: 10.718
Energy of formation in kJ per mole of atoms: 1
Total magnetization in μB/cell: 0.00

=====

# 2
First-principles (GGA-PBEsol) data for NaCu3H after structural relaxation, as listed in Alexandria via LeMat-Bulk.

Unit cell a=4.579 b=4.579 c=4.579 alpha=90.00 beta=90.00 gamma=90.00
Space group Pm-3m (No. 221)
Inequivalent atoms, fractional coordinates:
Na 0.000 0.000 0.000 (multiplicity 1)
Cu 0.000 0.000 0.500 (multiplicity 3)
H 0.500 0.500 0.500 (multiplicity 1)

Properties
Calculated total energy in eV/atom: -1.6197
Density in Mg/m³: 3.713
Total magnetization in μB/cell: 0.00

=====

# 3
First-principles (GGA-PBEsol) data for ZrOsPt2 after structural relaxation, as listed in Alexandria via LeMat-Bulk.

Unit cell a=2.8006 b=2.8006 c=27.9958 alpha=90.00 beta=90.00 gamma=120.00
Space group R3m (No. 160, hexagonal axes)
Inequivalent atoms, fractional coordinates:
Zr 0.0000 0.0000 0.0000 (multiplicity 3)
Os 0.0000 0.0000 0.7546 (multiplicity 3)
Pt 0.0000 0.0000 0.2491 (multiplicity 3)
Pt 0.0000 0.0000 0.4986 (multiplicity 3)

Properties
Density in Mg/m³: 17.594
Energy of formation in kJ per mole of atoms: -5
Total magnetization in μB/cell: 0.00

=====

# 4
First-principles (GGA-PBEsol) data for TlRe2Rh after structural relaxation, as listed in Alexandria via LeMat-Bulk.

Unit cell a=4.725 b=4.725 c=2.850 alpha=90.00 beta=90.00 gamma=90.00
Space group P4/mmm (No. 123)
Inequivalent atoms, fractional coordinates:
Tl 0.000 0.000 0.000 (multiplicity 1)
Re 0.000 0.500 0.500 (multiplicity 2)
Rh 0.500 0.500 0.000 (multiplicity 1)

Properties
Density in Mg/m³: 17.745
Energy above the most stable polymorph in this dataset in kJ per mole of atoms: 66.34
Energy of formation in kJ per mole of atoms: 96
Total magnetization in μB/cell: 0.00

=====

# 5
First-principles (GGA-PBEsol) data for TlRe3Au after structural relaxation, as listed in Alexandria via LeMat-Bulk.

Unit cell a=4.812 b=4.812 c=4.812 alpha=90.00 beta=90.00 gamma=90.00
Space group Pm-3m (No. 221)
Inequivalent atoms, fractional coordinates:
Tl 0.000 0.000 0.000 (multiplicity 1)
Re 0.000 0.500 0.500 (multiplicity 3)
Au 0.500 0.500 0.500 (multiplicity 1)

Properties
Density in Mg/m³: 14.306
Energy above the most stable polymorph in this dataset in kJ per mole of atoms: 0.00
Energy of formation in kJ per mole of atoms: 283
Total magnetization in μB/cell: 4.46

=====

# 6
First-principles (GGA-PBEsol) data for FeMoP2 after structural relaxation, as listed in Alexandria via LeMat-Bulk.

Unit cell a=3.100 b=3.100 c=5.143 alpha=90.00 beta=90.00 gamma=90.00
Space group P4mm (No. 99)
Inequivalent atoms, fractional coordinates:
Fe 0.000 0.000 0.000 (multiplicity 1)
Mo 0.500 0.500 0.357 (multiplicity 1)
P 0.000 0.000 0.554 (multiplicity 1)
P 0.500 0.500 0.850 (multiplicity 1)

Properties
Density in Mg/m³: 7.184
Energy of formation in kJ per mole of atoms: -43
Total magnetization in μB/cell: 1.74

=====

# 7
First-principles (GGA-PBEsol) data for ZnCuPt2 after structural relaxation, as listed in Alexandria via LeMat-Bulk.

Unit cell a=5.582 b=6.943 c=2.804 alpha=90.00 beta=90.00 gamma=90.00
Space group Cmmm (No. 65)
Inequivalent atoms, fractional coordinates:
Zn 0.000 0.000 0.000 (multiplicity 2)
Cu 0.000 0.500 0.000 (multiplicity 2)
Pt 0.250 0.250 0.500 (multiplicity 4)

Properties
Density in Mg/m³: 15.862
Energy of formation in kJ per mole of atoms: -35
Total magnetization in μB/cell: 0.00

=====

# 8
First-principles (GGA-PBEsol) data for CsRb2Cd2 after structural relaxation, as listed in Alexandria via LeMat-Bulk.

Unit cell a=5.799 b=5.799 c=15.379 alpha=90.00 beta=90.00 gamma=90.00
Space group I4/mmm (No. 139)
Inequivalent atoms, fractional coordinates:
Cs 0.000 0.000 0.000 (multiplicity 2)
Rb 0.000 0.500 0.250 (multiplicity 4)
Cd 0.000 0.000 0.408 (multiplicity 4)

Properties
Density in Mg/m³: 3.395
Energy above the most stable polymorph in this dataset in kJ per mole of atoms: 3.52
Energy of formation in kJ per mole of atoms: 8
Total magnetization in μB/cell: 0.00

=====

> Among the records above, which one has the highest density?

TlRe2Rh

=====

> Look up the density of the seventh one.

15.862 Mg/m³

=====

> Number 4 is which compound?

TlRe2Rh